[1]
The following is a GGA-PBE calculation of LiAs4Pd5 after structural relaxation, from the Alexandria database. Values from VASP.

space-group type	Pmmn
formation energy	-3.07	eV per formula unit
raw total energy	-4.95	eV per atom

```
&SYSTEM
  ibrav = 0, nat = 20, ntyp = 3
/
ATOMIC_SPECIES
Li 6.94 Li.upf
As 74.92 As.upf
Pd 106.42 Pd.upf
ATOMIC_POSITIONS crystal
Li 0.2500 0.2500 0.0911
Li 0.7500 0.7500 0.9089
As 0.0375 0.2500 0.4972
As 0.2500 0.5570 0.9895
As 0.2500 0.9430 0.9895
As 0.4625 0.2500 0.4972
As 0.5375 0.7500 0.5028
As 0.7500 0.0570 0.0105
As 0.7500 0.4430 0.0105
As 0.9625 0.7500 0.5028
Pd 0.0028 0.0180 0.2985
Pd 0.0028 0.4820 0.2985
Pd 0.2500 0.7500 0.2229
Pd 0.4972 0.0180 0.2985
Pd 0.4972 0.4820 0.2985
Pd 0.5028 0.5180 0.7015
Pd 0.5028 0.9820 0.7015
Pd 0.7500 0.2500 0.7771
Pd 0.9972 0.5180 0.7015
Pd 0.9972 0.9820 0.7015
CELL_PARAMETERS angstrom
5.7386 0.0000 0.0000
0.0000 9.0391 0.0000
0.0000 0.0000 6.9517
```

[2]
The following is a GGA-PBE calculation of Li3As4Pd2 after structural relaxation, from the Alexandria database. Values from VASP.

space-group type	C2/m
formation energy	-3.99	eV per formula unit
raw total energy	-4.30	eV per atom

```
&SYSTEM
  ibrav = 0, nat = 9, ntyp = 3
/
ATOMIC_SPECIES
Li 6.94 Li.upf
As 74.92 As.upf
Pd 106.42 Pd.upf
ATOMIC_POSITIONS crystal
Li 0.0000 0.0000 0.0000
Li 0.3848 0.3848 0.2917
Li 0.6152 0.6152 0.7083
As 0.0748 0.0748 0.3786
As 0.3006 0.3006 0.9452
As 0.6994 0.6994 0.0548
As 0.9252 0.9252 0.6214
Pd 0.2954 0.2954 0.6186
Pd 0.7046 0.7046 0.3814
CELL_PARAMETERS angstrom
4.5989 -2.2222 0.0000
4.5989 2.2222 0.0000
-1.3315 0.0000 7.7874
```

[3]
The following is a GGA-PBE calculation of Li8AsPd3 after structural relaxation, from the Alexandria database. Values from VASP.

space-group type	C2/m
formation energy	-2.37	eV per formula unit
raw total energy	-3.16	eV per atom

```
&SYSTEM
  ibrav = 0, nat = 12, ntyp = 3
/
ATOMIC_SPECIES
Li 6.94 Li.upf
As 74.92 As.upf
Pd 106.42 Pd.upf
ATOMIC_POSITIONS crystal
Li 0.1227 0.6312 0.7548
Li 0.1238 0.1238 0.7539
Li 0.3675 0.3675 0.2457
Li 0.3688 0.8773 0.2452
Li 0.6312 0.1227 0.7548
Li 0.6325 0.6325 0.7543
Li 0.8762 0.8762 0.2461
Li 0.8773 0.3688 0.2452
As 0.0000 0.0000 0.0000
Pd 0.2505 0.7495 0.5000
Pd 0.5000 0.5000 0.0000
Pd 0.7495 0.2505 0.5000
CELL_PARAMETERS angstrom
4.2499 -4.2531 0.0000
4.2499 4.2531 0.0000
-4.2025 0.0000 6.0497
```

[4]
The following is a GGA-PBE calculation of Li2AsPd8 after structural relaxation, from the Alexandria database. Values from VASP.

space-group type	Immm
formation energy	-2.86	eV per formula unit
raw total energy	-4.81	eV per atom
excess energy over the best structure of this formula in the dataset	0.0000	eV per atom

```
&SYSTEM
  ibrav = 0, nat = 11, ntyp = 3
/
ATOMIC_SPECIES
Li 6.94 Li.upf
As 74.92 As.upf
Pd 106.42 Pd.upf
ATOMIC_POSITIONS crystal
Li 0.1898 0.1898 0.0000
Li 0.8102 0.8102 0.0000
As 0.5000 0.5000 0.0000
Pd 0.0954 0.3589 0.7365
Pd 0.2421 0.0000 0.2421
Pd 0.3184 0.8184 0.5000
Pd 0.3776 0.6411 0.7365
Pd 0.6224 0.3589 0.2635
Pd 0.6816 0.1816 0.5000
Pd 0.7579 0.0000 0.7579
Pd 0.9046 0.6411 0.2635
CELL_PARAMETERS angstrom
-2.2169 2.8557 6.6833
2.2169 -2.8557 6.6833
2.2169 2.8557 -6.6833
```

[5]
The following is a GGA-PBE calculation of LiAsPd3 after structural relaxation, from the Alexandria database. Values from VASP.

space-group type	Pm-3m
formation energy	-0.51	eV per formula unit
raw total energy	-4.53	eV per atom
excess energy over the best structure of this formula in the dataset	0.3064	eV per atom

```
&SYSTEM
  ibrav = 0, nat = 5, ntyp = 3
/
ATOMIC_SPECIES
Li 6.94 Li.upf
As 74.92 As.upf
Pd 106.42 Pd.upf
ATOMIC_POSITIONS crystal
Li 0.0000 0.0000 0.0000
As 0.5000 0.5000 0.5000
Pd 0.0000 0.5000 0.5000
Pd 0.5000 0.0000 0.5000
Pd 0.5000 0.5000 0.0000
CELL_PARAMETERS angstrom
4.6786 0.0000 0.0000
0.0000 4.6786 0.0000
0.0000 0.0000 4.6786
```

[6]
The following is a GGA-PBE calculation of LiAsPd3 after structural relaxation, from the Alexandria database. Values from VASP.

space-group type	P1
formation energy	-2.04	eV per formula unit
raw total energy	-4.84	eV per atom
excess energy over the best structure of this formula in the dataset	0.0000	eV per atom

```
&SYSTEM
  ibrav = 0, nat = 10, ntyp = 3
/
ATOMIC_SPECIES
Li 6.94 Li.upf
As 74.92 As.upf
Pd 106.42 Pd.upf
ATOMIC_POSITIONS crystal
Li 0.0000 0.0000 0.0000
Li 0.0021 0.5446 0.3287
As 0.4989 0.2800 0.8388
As 0.5032 0.8727 0.4912
Pd 0.9999 0.4997 0.9653
Pd 0.0024 0.0551 0.3649
Pd 0.4992 0.7939 0.8009
Pd 0.5011 0.2679 0.1659
Pd 0.5011 0.7686 0.1639
Pd 0.5031 0.3837 0.5297
CELL_PARAMETERS angstrom
4.0213 0.0000 0.0000
-0.0013 5.3209 0.0000
-0.0260 -0.8240 7.5887
```